{
  "formula": "AlCr2HgO8",
  "functional": "PBE with a Hubbard U",
  "state": "optimized geometry",
  "cell": [[5.440, 0.000, 0.000], [-2.720, 4.712, 0.000], [0.000, 0.000, 6.726]],
  "species": ["Al", "Cr", "Cr", "Hg", "O", "O", "O", "O", "O", "O", "O", "O"],
  "frac_coords": [[0.000, 0.000, 0.000], [0.333, 0.667, 0.756], [0.667, 0.333, 0.244], [0.000, 0.000, 0.500], [0.162, 0.324, 0.831], [0.162, 0.838, 0.831], [0.676, 0.838, 0.831], [0.324, 0.162, 0.169], [0.667, 0.333, 0.485], [0.333, 0.667, 0.515], [0.838, 0.676, 0.169], [0.838, 0.162, 0.169]],
  "dft_energy_ev_per_atom": -6.2248,
  "vol_a3_per_cell": 172.4,
  "magmom_total_mub_per_fu": 0.99
}